Entry 1:
Compound: BeRu2
Source: the Alexandria database
Functional: PBE
Structure: relaxed

Values from the calculation:
Energy of formation from the pure elements, eV per formula unit: 0.24
N(E_F), states/eV/f.u.: 3.26

abc: 5.9325 5.9325 3.5911
angles: 90.00 90.00 120.00
With the nearest neighbours (Å) after each atom.
Positions (direct):
Ru 0.4222 0.4222 0.5000  5 Be 2.50-2.52, 2 Ru 2.65
Ru 0.5778 0.0000 0.5000  5 Be 2.50-2.52, 2 Ru 2.65
Ru 0.0000 0.5778 0.5000  5 Be 2.50-2.52, 2 Ru 2.65
Ru 0.7496 0.7496 0.0000  4 Be 2.26-2.33
Ru 0.0000 0.2504 0.0000  4 Be 2.26-2.33
Ru 0.2504 0.0000 0.0000  4 Be 2.26-2.33
Be 0.6667 0.3333 0.0000  9 Ru 2.26-2.52
Be 0.3333 0.6667 0.0000  9 Ru 2.26-2.52
Be 0.0000 0.0000 0.5000  9 Ru 2.33-2.50

Entry 2:
Compound: MnGaBiC2
Source: the Alexandria database
Functional: PBE
Structure: relaxed

Values from the calculation:
Energy of formation from the pure elements, eV per formula unit: 6.36
N(E_F), states/eV/f.u.: 2.48

abc: 3.7990 5.7037 3.7990
angles: 90.00 90.00 90.00
With the nearest neighbours (Å) after each atom.
Positions (direct):
C 0.0000 0.0000 0.5000  2 Mn 1.90
C 0.5000 0.0000 0.0000  2 Mn 1.90
Ga 0.5000 0.5000 0.5000  4 Bi 2.69
Mn 0.0000 0.0000 0.0000  4 C 1.90
Bi 0.0000 0.5000 0.0000  4 Ga 2.69, 2 Mn 2.85

Entry 3:
Compound: TbPr6Sm5
Source: the Alexandria database
Functional: PBE
Structure: relaxed

Values from the calculation:
Energy of formation from the pure elements, eV per formula unit: 0.15
N(E_F), states/eV/f.u.: 17.31

abc: 5.1950 10.3338 9.6963
angles: 122.20 105.54 90.00
With the nearest neighbours (Å) after each atom.
Positions (direct):
Sm 0.6665 0.1665 0.3330  8 Pr 3.65-3.67, 2 Tb 3.67, 2 Sm 3.67
Sm 0.3335 0.8335 0.6670  8 Pr 3.65-3.67, 2 Tb 3.67, 2 Sm 3.67
Sm 0.3335 0.3335 0.6670  8 Pr 3.66-3.67, 4 Sm 3.67
Sm 0.6665 0.6665 0.3330  8 Pr 3.66-3.67, 4 Sm 3.67
Sm 0.0000 0.5000 0.0000  8 Pr 3.66-3.67, 4 Sm 3.67
Pr 0.1664 0.9171 0.3328  1 Tb 3.65, 7 Sm 3.66-3.67, 4 Pr 3.67-3.68
Pr 0.8336 0.5843 0.6672  1 Tb 3.65, 7 Sm 3.66-3.67, 4 Pr 3.67-3.68
Pr 0.1664 0.4157 0.3328  1 Tb 3.65, 7 Sm 3.66-3.67, 4 Pr 3.67-3.68
Pr 0.8336 0.0829 0.6672  1 Tb 3.65, 7 Sm 3.66-3.67, 4 Pr 3.67-3.68
Pr 0.5000 0.2490 0.0000  6 Sm 3.65-3.67, 2 Tb 3.66, 4 Pr 3.67
Pr 0.5000 0.7510 0.0000  6 Sm 3.65-3.67, 2 Tb 3.66, 4 Pr 3.67
Tb 0.0000 0.0000 0.0000  8 Pr 3.65-3.66, 4 Sm 3.67

Entry 4:
Compound: NdSm4Cd
Source: the Alexandria database
Functional: PBE
Structure: relaxed

Values from the calculation:
Energy of formation from the pure elements, eV per formula unit: -0.57
Relative energy among the computed polymorphs, kJ/mol of formula units: 0.0
N(E_F), states/eV/f.u.: 7.66

abc: 3.6573 3.6573 14.3688
angles: 90.00 90.00 90.00
With the nearest neighbours (Å) after each atom.
Positions (direct):
Sm 0.0000 0.0000 0.6447  4 Cd 3.32, 8 Sm 3.61-3.66
Sm 0.5000 0.5000 0.1797  8 Sm 3.61-3.66, 4 Nd 3.65
Sm 0.0000 0.0000 0.3553  4 Cd 3.32, 8 Sm 3.61-3.66
Sm 0.5000 0.5000 0.8203  8 Sm 3.61-3.66, 4 Nd 3.65
Nd 0.0000 0.0000 0.0000  8 Sm 3.65, 4 Nd 3.66
Cd 0.5000 0.5000 0.5000  8 Sm 3.32, 4 Cd 3.66

Entry 5:
Compound: Cs3SbAu
Source: the Alexandria database
Functional: PBE
Structure: relaxed

Values from the calculation:
Energy relative to the elements, uncorrected, meV/atom: -133
Relative energy among the computed polymorphs, kJ/mol of formula units: 101.1
N(E_F), states/eV/f.u.: 5.92

abc: 6.7008 6.7008 6.7008
angles: 90.00 90.00 90.00
With the nearest neighbours (Å) after each atom.
Positions (direct):
Cs 0.0000 0.5000 0.0000  2 Au 3.35
Cs 0.0000 0.0000 0.5000  2 Au 3.35
Cs 0.5000 0.0000 0.0000  2 Au 3.35
Sb 0.5000 0.5000 0.5000  12 Cs 4.74
Au 0.0000 0.0000 0.0000  6 Cs 3.35

Entry 6:
Compound: Rb2Sr4Ir
Source: the Alexandria database
Functional: PBE
Structure: relaxed

Values from the calculation:
Energy of formation from the pure elements, eV per formula unit: -0.04
N(E_F), states/eV/f.u.: 5.55

abc: 6.0312 6.0312 12.3155
angles: 75.83 75.83 90.00
With the nearest neighbours (Å) after each atom.
Positions (direct):
Sr 0.5000 0.0000 0.0000  2 Ir 3.02
Sr 0.1227 0.1227 0.7546  1 Ir 2.83
Sr 0.0000 0.5000 0.0000  2 Ir 3.02
Sr 0.8773 0.8773 0.2454  1 Ir 2.83
Ir 0.0000 0.0000 0.0000  6 Sr 2.83-3.02
Rb 0.6770 0.6770 0.6460  5 Sr 4.45-4.63
Rb 0.3230 0.3230 0.3540  5 Sr 4.45-4.63

Entry 7:
Compound: Zn2Ag3Au8
Source: the Alexandria database
Functional: PBE
Structure: relaxed

Values from the calculation:
Energy of formation from the pure elements, eV per formula unit: 0.68
Relative energy among the computed polymorphs, kJ/mol of formula units: 118.0
N(E_F), states/eV/f.u.: 4.28

abc: 5.4547 5.4547 10.3876
angles: 74.78 74.78 60.00
With the nearest neighbours (Å) after each atom.
Positions (direct):
Au 0.7318 0.2302 0.3062  1 Zn 2.66, 4 Au 2.72-2.74, 1 Ag 2.90
Au 0.7698 0.2682 0.6938  1 Zn 2.66, 4 Au 2.72-2.74, 1 Ag 2.90
Au 0.7195 0.7195 0.8415  1 Zn 2.46
Au 0.2682 0.7698 0.6938  1 Zn 2.66, 4 Au 2.72-2.74, 1 Ag 2.90
Au 0.2302 0.7318 0.3062  1 Zn 2.66, 4 Au 2.72-2.74, 1 Ag 2.90
Au 0.2682 0.2682 0.6938  1 Zn 2.66, 4 Au 2.72-2.74, 1 Ag 2.90
Au 0.2805 0.2805 0.1585  1 Zn 2.46
Au 0.7318 0.7318 0.3062  1 Zn 2.66, 4 Au 2.72-2.74, 1 Ag 2.90
Zn 0.3635 0.3635 0.9095  4 Au 2.46-2.66
Zn 0.6365 0.6365 0.0905  4 Au 2.46-2.66
Ag 0.1841 0.1841 0.4478  10 Au 2.86-3.07
Ag 0.0000 0.0000 0.0000  6 Zn 3.27, 12 Au 3.41-3.52
Ag 0.8159 0.8159 0.5522  10 Au 2.86-3.07

Entry 8:
Compound: Al2CoPb
Source: the Alexandria database
Functional: PBE
Structure: relaxed

Values from the calculation:
Energy of formation from the pure elements, eV per formula unit: 1.34
N(E_F), states/eV/f.u.: 2.47

abc: 4.3284 4.3284 9.0081
angles: 76.10 76.10 90.00
With the nearest neighbours (Å) after each atom.
Positions (direct):
Pb 0.7500 0.2500 0.5000  4 Al 2.78, 4 Co 3.06
Pb 0.0000 0.0000 0.0000  4 Al 2.78, 4 Co 3.06
Co 0.2500 0.7500 0.5000  4 Al 2.48
Co 0.5000 0.5000 0.0000  4 Al 2.48
Al 0.5403 0.1250 0.2500  2 Co 2.48, 2 Al 2.59
Al 0.8750 0.7903 0.7500  2 Co 2.48, 2 Al 2.59
Al 0.3750 0.4597 0.7500  2 Co 2.48, 2 Al 2.59
Al 0.2097 0.6250 0.2500  2 Co 2.48, 2 Al 2.59

Entry 9:
Compound: ZnGa2SnI
Source: the Alexandria database
Functional: PBE
Structure: relaxed

Values from the calculation:
Energy relative to the elements, uncorrected, meV/atom: 771
N(E_F), states/eV/f.u.: 4.30

abc: 5.9655 5.9756 5.9655
angles: 90.00 90.00 90.00
With the nearest neighbours (Å) after each atom.
Positions (direct):
I 0.0000 0.0000 0.0000  4 Ga 2.98, 2 Sn 2.99
Sn 0.0000 0.5000 0.0000  2 I 2.99
Ga 0.0000 0.0000 0.5000  2 I 2.98
Ga 0.5000 0.0000 0.0000  2 I 2.98
Zn 0.5000 0.5000 0.5000  4 Sn 4.22, 8 Ga 4.22

Entry 10:
Compound: Pr4HoIn4
Source: the Alexandria database
Functional: PBE
Structure: relaxed

Values from the calculation:
Energy of formation from the pure elements, eV per formula unit: -0.97
N(E_F), states/eV/f.u.: 7.14

abc: 7.3417 7.3417 10.8380
angles: 90.00 90.00 90.00
With the nearest neighbours (Å) after each atom.
Positions (direct):
Pr 0.0000 0.7211 0.4282  5 In 3.23-3.35, 3 Pr 3.25-3.29
Pr 0.7789 0.5000 0.9282  5 In 3.23-3.35, 3 Pr 3.25-3.29
Pr 0.7211 0.0000 0.5718  5 In 3.23-3.35, 3 Pr 3.25-3.29
Pr 0.2211 0.5000 0.9282  5 In 3.23-3.35, 3 Pr 3.25-3.29
Pr 0.5000 0.7789 0.0718  5 In 3.23-3.35, 3 Pr 3.25-3.29
Pr 0.5000 0.2211 0.0718  5 In 3.23-3.35, 3 Pr 3.25-3.29
Pr 0.0000 0.2789 0.4282  5 In 3.23-3.35, 3 Pr 3.25-3.29
Pr 0.2789 0.0000 0.5718  5 In 3.23-3.35, 3 Pr 3.25-3.29
In 0.7466 0.5000 0.2367  5 Pr 3.23-3.35, 1 Ho 3.38
In 0.5000 0.7466 0.7633  5 Pr 3.23-3.35, 1 Ho 3.38
In 0.5000 0.2534 0.7633  5 Pr 3.23-3.35, 1 Ho 3.38
In 0.7534 0.0000 0.2633  5 Pr 3.23-3.35, 1 Ho 3.38
In 0.0000 0.7534 0.7367  5 Pr 3.23-3.35, 1 Ho 3.38
In 0.2466 0.0000 0.2633  5 Pr 3.23-3.35, 1 Ho 3.38
In 0.0000 0.2466 0.7367  5 Pr 3.23-3.35, 1 Ho 3.38
In 0.2534 0.5000 0.2367  5 Pr 3.23-3.35, 1 Ho 3.38
Ho 0.0000 0.0000 0.0000  4 In 3.38
Ho 0.5000 0.5000 0.5000  4 In 3.38